[1]
# Li5ZnAu PBE relaxed
data_Li5ZnAu
_chemical_formula_sum 'Li20 Zn4 Au4'
_cell_length_a 9.3963
_cell_length_b 5.2280
_cell_length_c 9.7128
_cell_angle_alpha 90.00
_cell_angle_beta 103.14
_cell_angle_gamma 90.00
_symmetry_space_group_name_H-M 'C 1 2/c 1'
_symmetry_Int_Tables_number 15
loop_
_symmetry_equiv_pos_as_xyz
'x,y,z'
'-x,-y,-z'
'-x,y,-z+1/2'
'x,-y,z+1/2'
'x+1/2,y+1/2,z'
'-x+1/2,-y+1/2,-z'
'-x+1/2,y+1/2,-z+1/2'
'x+1/2,-y+1/2,z+1/2'
loop_
_atom_site_label
_atom_site_type_symbol
_atom_site_fract_x
_atom_site_fract_y
_atom_site_fract_z
_atom_site_occupancy
Li1 Li 0.0000 0.2055 0.2500 1
Li2 Li 0.1458 0.4681 0.0212 1
Li3 Li 0.2394 0.0694 0.6984 1
Zn1 Zn 0.0000 0.0000 0.0000 1
Au1 Au 0.0000 0.2969 0.7500 1
# V in Å³/atom: 16.594
# Energy of formation from the pure elements in eV/atom: -0.20

---

[2]
# Li7ZnAu4 PBE relaxed
data_Li7ZnAu4
_chemical_formula_sum 'Li14 Zn2 Au8'
_cell_length_a 13.0432
_cell_length_b 4.7016
_cell_length_c 7.9483
_cell_angle_alpha 90.00
_cell_angle_beta 124.18
_cell_angle_gamma 90.00
_symmetry_space_group_name_H-M 'C 1 2/m 1'
_symmetry_Int_Tables_number 12
loop_
_symmetry_equiv_pos_as_xyz
'x,y,z'
'-x,-y,-z'
'-x,y,-z'
'x,-y,z'
'x+1/2,y+1/2,z'
'-x+1/2,-y+1/2,-z'
'-x+1/2,y+1/2,-z'
'x+1/2,-y+1/2,z'
loop_
_atom_site_label
_atom_site_type_symbol
_atom_site_fract_x
_atom_site_fract_y
_atom_site_fract_z
_atom_site_occupancy
Li1 Li 0.0000 0.0000 0.0000 1
Li2 Li 0.0705 0.5000 0.4063 1
Li3 Li 0.2113 0.5000 0.8750 1
Li4 Li 0.2435 0.5000 0.2741 1
Zn1 Zn 0.0000 0.5000 0.0000 1
Au1 Au 0.0633 0.0000 0.7302 1
Au2 Au 0.1863 0.0000 0.3549 1
# ΔE to the lowest computed polymorph in eV per atom: 0.107
# V in Å³/atom: 16.801
# Energy of formation from the pure elements in eV/atom: -0.32

---

Number 2 is which compound?
Li7ZnAu4

---

What is the energy of formation from the pure elements in the second record?
-0.32 eV/atom

---

Look up the V of the second one.
16.801 Å³/atom

---

What is the V in the first record?
16.594 Å³/atom